Entry 1:
# ZrTc (PBEsol, optimized geometry)
data_ZrTc
_chemical_formula_sum 'Zr4 Tc4'
_symmetry_space_group_name_H-M 'I m m a'
_symmetry_Int_Tables_number 74
_symmetry_space_group_name_Hall '-I 2b 2'
_cell_length_a 3.224
_cell_length_b 4.496
_cell_length_c 9.488
_cell_angle_alpha 90.00
_cell_angle_beta 90.00
_cell_angle_gamma 90.00
loop_
_atom_site_label
_atom_site_type_symbol
_atom_site_fract_x
_atom_site_fract_y
_atom_site_fract_z
Zr1 Zr 0.000 0.250 0.117
Tc1 Tc 0.000 0.250 0.635
# **Calculated volume**: 34.4 Å³/f.u.
# **E_form**: -288 meV/atom
# **DOS(E_F)**: 4.47 states/eV per cell
# **E**: -10.466 eV per atom

***

Entry 2:
# Al2CuSb (PBEsol, optimized geometry)
data_Al2CuSb
_chemical_formula_sum 'Al6 Cu3 Sb3'
_symmetry_space_group_name_H-M 'R -3 m'
_symmetry_Int_Tables_number 166
_symmetry_space_group_name_Hall '-R 3 2"'
_cell_length_a 3.1215
_cell_length_b 3.1215
_cell_length_c 25.6235
_cell_angle_alpha 90.00
_cell_angle_beta 90.00
_cell_angle_gamma 120.00
loop_
_atom_site_label
_atom_site_type_symbol
_atom_site_fract_x
_atom_site_fract_y
_atom_site_fract_z
Al1 Al 0.0000 0.0000 0.2347
Cu1 Cu 0.0000 0.0000 0.5000
Sb1 Sb 0.0000 0.0000 0.0000
# **Calculated volume**: 72.1 Å³/f.u.
# **DOS(E_F)**: 4.55 states/eV per cell
# **E**: -4.139 eV per atom

***

Entry 3:
# Cd2GaCuS4 (PBEsol, optimized geometry)
data_Cd2GaCuS4
_chemical_formula_sum 'Cd4 Ga2 Cu2 S8'
_symmetry_space_group_name_H-M 'C 1 m 1'
_symmetry_Int_Tables_number 8
_symmetry_space_group_name_Hall 'C -2y'
_cell_length_a 14.578
_cell_length_b 3.897
_cell_length_c 6.734
_cell_angle_alpha 90.00
_cell_angle_beta 116.72
_cell_angle_gamma 90.00
loop_
_atom_site_label
_atom_site_type_symbol
_atom_site_fract_x
_atom_site_fract_y
_atom_site_fract_z
Cd1 Cd 0.000 0.000 0.000
Cd2 Cd 0.004 0.500 0.534
Ga1 Ga 0.256 0.000 0.585
Cu1 Cu 0.262 0.500 0.115
S1 S 0.081 0.000 0.422
S2 S 0.087 0.500 0.940
S3 S 0.305 0.500 0.819
S4 S 0.313 0.000 0.318
# **Calculated volume**: 170.9 Å³/f.u.
# **DOS(E_F)**: 1.28 states/eV per cell
# **E**: -3.995 eV per atom

***

Entry 4:
# ZnTeSeN2 (PBEsol, optimized geometry)
data_ZnTeSeN2
_chemical_formula_sum 'Zn1 Te1 Se1 N2'
_symmetry_space_group_name_H-M 'P 4/m m m'
_symmetry_Int_Tables_number 123
_symmetry_space_group_name_Hall '-P 4 2'
_cell_length_a 4.034
_cell_length_b 4.034
_cell_length_c 5.057
_cell_angle_alpha 90.00
_cell_angle_beta 90.00
_cell_angle_gamma 90.00
loop_
_atom_site_label
_atom_site_type_symbol
_atom_site_fract_x
_atom_site_fract_y
_atom_site_fract_z
Zn1 Zn 0.000 0.000 0.000
Te1 Te 0.500 0.500 0.500
Se1 Se 0.000 0.000 0.500
N1 N 0.000 0.500 0.000
# **Calculated volume**: 82.3 Å³/f.u.
# **DOS(E_F)**: 3.19 states/eV per cell
# **E**: -3.792 eV per atom

***

Entry 5:
# Mn3VNi2P6O24 (PBEsol, optimized geometry)
data_Mn3VNi2P6O24
_chemical_formula_sum 'Mn9 V3 Ni6 P18 O72'
_symmetry_space_group_name_H-M 'R 3'
_symmetry_Int_Tables_number 146
_symmetry_space_group_name_Hall 'R 3'
_cell_length_a 8.4537
_cell_length_b 8.4537
_cell_length_c 20.1247
_cell_angle_alpha 90.00
_cell_angle_beta 90.00
_cell_angle_gamma 120.00
loop_
_atom_site_label
_atom_site_type_symbol
_atom_site_fract_x
_atom_site_fract_y
_atom_site_fract_z
Mn1 Mn 0.0000 0.0000 0.0000
Mn2 Mn 0.0000 0.0000 0.2197
Mn3 Mn 0.0000 0.0000 0.7198
V1 V 0.0000 0.0000 0.5014
Ni1 Ni 0.0000 0.0000 0.3607
Ni2 Ni 0.0000 0.0000 0.8594
P1 P 0.0414 0.6676 0.2777
P2 P 0.0431 0.3753 0.7768
O1 O 0.0015 0.8067 0.6742
O2 O 0.0026 0.1938 0.1735
O3 O 0.0142 0.8355 0.2857
O4 O 0.0174 0.1803 0.7855
O5 O 0.1401 0.4707 0.7133
O6 O 0.1529 0.6808 0.2155
O7 O 0.1701 0.4867 0.1035
O8 O 0.1734 0.6929 0.5996
# **Calculated volume**: 415.2 Å³/f.u.
# **DOS(E_F)**: 46.31 states/eV per cell
# **E**: -7.767 eV per atom

***

Entry 6:
# YScIr2 (PBEsol, optimized geometry)
data_YScIr2
_chemical_formula_sum 'Y4 Sc4 Ir8'
_symmetry_space_group_name_H-M 'F -4 3 m'
_symmetry_Int_Tables_number 216
_symmetry_space_group_name_Hall 'F -4 2 3'
_cell_length_a 6.515
_cell_length_b 6.515
_cell_length_c 6.515
_cell_angle_alpha 90.00
_cell_angle_beta 90.00
_cell_angle_gamma 90.00
loop_
_atom_site_label
_atom_site_type_symbol
_atom_site_fract_x
_atom_site_fract_y
_atom_site_fract_z
Y1 Y 0.000 0.000 0.000
Sc1 Sc 0.250 0.250 0.750
Ir1 Ir 0.000 0.000 0.500
Ir2 Ir 0.250 0.250 0.250
# **Calculated volume**: 69.1 Å³/f.u.
# **E_form**: -330 meV/atom
# **DOS(E_F)**: 22.63 states/eV per cell
# **E**: -8.598 eV per atom